Record 1
# V2IrSe6 (GGA-PBE, optimized geometry)
# DOS at the Fermi energy, states/eV per atom: 0.6770
# Formation energy (no corrections), eV/atom: -0.508
data_V2IrSe6
_symmetry_space_group_name_H-M 'C 1 2/m 1'
_symmetry_Int_Tables_number 12
_symmetry_space_group_name_Hall '-C 2y'
_cell_length_a 16.515
_cell_length_b 3.466
_cell_length_c 7.660
_cell_angle_alpha 90.00
_cell_angle_beta 112.21
_cell_angle_gamma 90.00
loop_
_atom_site_label
_atom_site_type_symbol
_atom_site_fract_x
_atom_site_fract_y
_atom_site_fract_z
V1 V 0.172 0.000 0.346
Ir1 Ir 0.000 0.500 0.000
Se1 Se 0.008 0.000 0.242
Se2 Se 0.163 0.500 0.099
Se3 Se 0.168 0.500 0.578

Record 2
# Ir3WSe (GGA-PBE, optimized geometry)
# DOS at the Fermi energy, states/eV per atom: 1.1954
# ΔE to the lowest computed polymorph, meV/atom: 80
# Formation energy (no corrections), eV/atom: 1.786
data_Ir3WSe
_symmetry_space_group_name_H-M 'P m -3 m'
_symmetry_Int_Tables_number 221
_symmetry_space_group_name_Hall '-P 4 2 3'
_cell_length_a 4.770
_cell_length_b 4.770
_cell_length_c 4.770
_cell_angle_alpha 90.00
_cell_angle_beta 90.00
_cell_angle_gamma 90.00
loop_
_atom_site_label
_atom_site_type_symbol
_atom_site_fract_x
_atom_site_fract_y
_atom_site_fract_z
Ir1 Ir 0.000 0.000 0.500
W1 W 0.000 0.000 0.000
Se1 Se 0.500 0.500 0.500

> Which of these has the highest DOS at the Fermi energy?

Ir3WSe